DFT (GGA-PBE) results for a relaxed TiAl4PtRh2 crystal.

## Properties
Total energy   -6.25 eV per atom
Symmetry   R-3m (166)

abc: 4.326 4.326 7.595
angles: 73.45 73.45 60.00
Atoms (fractional coordinates):
Pt  0.500  0.500  0.500
Al  0.620  0.620  0.139
Al  0.872  0.872  0.384
Al  0.380  0.380  0.861
Al  0.128  0.128  0.616
Rh  0.743  0.743  0.772
Rh  0.257  0.257  0.228
Ti  0.000  0.000  0.000

***

DFT (GGA-PBE) results for a relaxed PrTm14Sc crystal.

## Properties
Total energy   -4.53 eV per atom
Symmetry   Amm2 (38)

abc: 6.813 6.813 10.909
angles: 90.00 90.00 107.26
Atoms (fractional coordinates):
Tm  0.413  0.164  0.750
Tm  0.905  0.095  0.266
Tm  0.345  0.655  0.769
Tm  0.836  0.587  0.750
Tm  0.905  0.095  0.734
Tm  0.413  0.164  0.250
Tm  0.836  0.587  0.250
Tm  0.109  0.891  0.000
Tm  0.557  0.443  0.000
Tm  0.631  0.959  0.000
Tm  0.210  0.382  0.500
Tm  0.618  0.790  0.500
Tm  0.345  0.655  0.231
Tm  0.041  0.369  0.000
Pr  0.699  0.301  0.500
Sc  0.139  0.861  0.500

***

DFT (GGA-PBE) results for a relaxed Pm3O2 crystal.

## Properties
Raw formation energy   -2127 meV per atom
Symmetry   R-3c (167)

abc: 6.256 6.256 6.787
angles: 62.56 62.56 60.00
Atoms (fractional coordinates):
O  0.835  0.835  0.494
O  0.165  0.165  0.506
O  0.335  0.335  0.994
O  0.665  0.665  0.006
Pm  0.750  0.421  0.750
Pm  0.250  0.579  0.250
Pm  0.421  0.079  0.750
Pm  0.921  0.250  0.250
Pm  0.579  0.921  0.250
Pm  0.079  0.750  0.750

***

DFT (GGA-PBE) results for a relaxed Pm2Mg5Ag5 crystal.

## Properties
Total energy   -2.87 eV per atom
Symmetry   Pmmm (47)

abc: 4.677 5.786 9.824
angles: 90.00 90.00 90.00
Atoms (fractional coordinates):
Mg  0.500  0.750  0.760
Mg  0.500  0.500  0.500
Mg  0.500  0.250  0.760
Mg  0.500  0.750  0.240
Mg  0.500  0.250  0.240
Pm  0.000  0.000  0.500
Pm  0.000  0.500  0.000
Ag  0.000  0.000  0.830
Ag  0.000  0.500  0.333
Ag  0.000  0.500  0.667
Ag  0.000  0.000  0.170
Ag  0.500  0.000  0.000

***

DFT (GGA-PBE) results for a relaxed LaScIn2 crystal.

## Properties
Total energy   -4.45 eV per atom
Symmetry   R-3m (166)

abc: 10.588 10.588 10.588
angles: 19.02 19.02 19.02
Atoms (fractional coordinates):
Sc  0.750  0.750  0.750
In  0.007  0.007  0.007
In  0.493  0.493  0.493
La  0.250  0.250  0.250

***

DFT (GGA-PBE) results for a relaxed Cs6Na8Tl crystal.

## Properties
Total energy   -1.15 eV per atom
Symmetry   R-3 (148)

abc: 10.471 10.471 10.471
angles: 69.41 69.41 69.41
Atoms (fractional coordinates):
Cs  0.974  0.447  0.280
Cs  0.280  0.974  0.447
Cs  0.447  0.280  0.974
Cs  0.720  0.026  0.553
Cs  0.026  0.553  0.720
Cs  0.553  0.720  0.026
Tl  0.000  0.000  0.000
Na  0.884  0.218  0.741
Na  0.413  0.413  0.413
Na  0.587  0.587  0.587
Na  0.218  0.741  0.884
Na  0.116  0.782  0.259
Na  0.741  0.884  0.218
Na  0.782  0.259  0.116
Na  0.259  0.116  0.782

***

DFT (GGA-PBE) results for a relaxed KSb crystal.

## Properties
Excess energy over the best structure of this formula in the dataset   0.6 meV/atom
Raw formation energy   -440 meV per atom
Symmetry   P2_12_12_1 (19)

abc: 7.219 7.130 12.558
angles: 90.00 90.00 90.00
Atoms (fractional coordinates):
Sb  0.082  0.918  0.626
Sb  0.205  0.656  0.788
Sb  0.918  0.418  0.874
Sb  0.418  0.082  0.126
Sb  0.795  0.156  0.712
Sb  0.582  0.582  0.374
Sb  0.705  0.844  0.212
Sb  0.295  0.344  0.288
K  0.154  0.847  0.330
K  0.654  0.653  0.670
K  0.846  0.347  0.170
K  0.346  0.153  0.830
K  0.396  0.584  0.045
K  0.604  0.084  0.455
K  0.104  0.416  0.545
K  0.896  0.916  0.955

***

DFT (GGA-PBE) results for a relaxed KSrW2 crystal.

## Properties
Excess energy over the best structure of this formula in the dataset   1430.3 meV/atom
Symmetry   I-42d (122)

abc: 8.978 8.978 6.892
angles: 49.36 49.36 90.00
Last column: magnetic moment on the atom in μB.
Atoms (fractional coordinates):
Sr  0.750  0.250  0.500  0.05
Sr  0.000  0.000  0.000  0.05
W  0.127  0.625  0.250  0.78
W  0.623  0.125  0.250  0.80
W  0.875  0.873  0.750  0.80
W  0.375  0.377  0.750  0.79
K  0.500  0.500  0.000  0.03
K  0.250  0.750  0.500  0.03

***

DFT (GGA-PBE) results for a relaxed SrCr2P crystal.

## Properties
Total energy   -6.23 eV per atom
Symmetry   Immm (71)

abc: 5.772 5.772 5.772
angles: 146.35 124.28 66.69
Last column: magnetic moment on the atom in μB.
Atoms (fractional coordinates):
Cr  0.931  0.931  0.000  3.38
Cr  0.569  0.569  0.000  3.38
P  0.750  0.250  0.500  -0.16
Sr  0.250  0.750  0.500  0.04

***

DFT (GGA-PBE) results for a relaxed MgBPd2Pt crystal.

## Properties
Total energy   -5.45 eV per atom
Symmetry   P4/mmm (123)

abc: 4.220 4.220 4.155
angles: 90.00 90.00 90.00
Atoms (fractional coordinates):
Pd  0.000  0.500  0.000
Pd  0.500  0.000  0.000
Pt  0.000  0.000  0.500
B  0.000  0.000  0.000
Mg  0.500  0.500  0.500